Entry 1:
Below is Li4Zn3Cu2 after structural relaxation, with properties calculated at the PBE-GGA level.

Properties
distance to the lowest polymorph of the same formula = 17 meV/atom
E_form = -125 meV per atom

Cell: 6.189 6.189 6.281 Å, 107.91 107.91 33.96°
Element x y z (fractional)
1 Li 0.053 0.053 0.336
2 Li 0.279 0.279 0.684
3 Li 0.721 0.721 0.316
4 Li 0.947 0.947 0.664
5 Zn 0.380 0.380 0.306
6 Zn 0.500 0.500 0.000
7 Zn 0.620 0.620 0.694
8 Cu 0.166 0.166 0.999
9 Cu 0.834 0.834 0.001

=====

Entry 2:
Below is ZrI2Cl8 after structural relaxation, with properties calculated at the PBE-GGA level.

Properties
formation energy without anion corrections = -803 meV per atom

Cell: 8.984 8.984 7.682 Å, 110.47 110.47 44.62°
Element x y z (fractional)
1 Zr 0.000 0.000 0.000
2 I 0.251 0.251 0.457
3 I 0.749 0.749 0.543
4 Cl 0.081 0.081 0.366
5 Cl 0.148 0.652 0.030
6 Cl 0.348 0.852 0.970
7 Cl 0.405 0.405 0.544
8 Cl 0.595 0.595 0.456
9 Cl 0.652 0.148 0.030
10 Cl 0.852 0.348 0.970
11 Cl 0.919 0.919 0.634

=====

Entry 3:
Below is Pr8Nd6Cd after structural relaxation, with properties calculated at the PBE-GGA level.

Properties
E_form = 73 meV per atom

Cell: 9.625 9.625 6.617 Å, 90.00 90.00 120.00°
Element x y z (fractional)
1 Pr 0.042 0.774 0.185
2 Pr 0.226 0.268 0.185
3 Pr 0.268 0.042 0.815
4 Pr 0.333 0.667 0.146
5 Pr 0.667 0.333 0.854
6 Pr 0.732 0.958 0.185
7 Pr 0.774 0.732 0.815
8 Pr 0.958 0.226 0.815
9 Nd 0.094 0.644 0.673
10 Nd 0.356 0.449 0.673
11 Nd 0.449 0.094 0.327
12 Nd 0.551 0.906 0.673
13 Nd 0.644 0.551 0.327
14 Nd 0.906 0.356 0.327
15 Cd 0.000 0.000 0.500